No. 1
The following is a DFT calculation (PBE-GGA) of crystalline Sm6Te3Au2Se at its relaxed geometry.

a = 4.2606 Å, b = 8.8950 Å, c = 9.8506 Å
α = 105.60°, β = 102.49°, γ = 90.00°
Last column: nearest neighbours and their distance in Å.
Fractional coordinates of all 12 atoms:
Se  0.5000  0.0000  0.0000  6 Sm 2.99-3.02
Sm  0.3367  0.8965  0.6734  2 Au 3.00, 1 Se 3.02, 3 Te 3.16-3.22
Sm  0.9946  0.7612  0.9891  2 Se 2.99, 1 Au 3.03, 3 Te 3.14-3.17
Sm  0.0054  0.2388  0.0109  2 Se 2.99, 1 Au 3.03, 3 Te 3.14-3.17
Sm  0.6680  0.5807  0.3360  3 Au 3.00-3.02, 3 Te 3.11-3.17
Sm  0.3320  0.4193  0.6640  3 Au 3.00-3.02, 3 Te 3.11-3.17
Sm  0.6633  0.1035  0.3266  2 Au 3.00, 1 Se 3.02, 3 Te 3.16-3.22
Te  0.5000  0.5000  0.0000  6 Sm 3.11-3.17
Te  0.1642  0.8423  0.3284  6 Sm 3.14-3.22
Te  0.8358  0.1577  0.6716  6 Sm 3.14-3.22
Au  0.1691  0.3437  0.3382  6 Sm 3.00-3.03
Au  0.8309  0.6563  0.6618  6 Sm 3.00-3.03

**SG**: No. 12



No. 2
The following is a DFT calculation (PBE-GGA) of crystalline Sm4Te2AuSe at its relaxed geometry.

a = 4.2399 Å, b = 7.5886 Å, c = 7.6153 Å
α = 108.61°, β = 90.00°, γ = 90.00°
Last column: nearest neighbours and their distance in Å.
Fractional coordinates of all 8 atoms:
Te  0.0000  0.5000  0.5000  6 Sm 3.16
Te  0.5000  0.0000  0.5000  6 Sm 3.16-3.18
Sm  0.0000  0.7387  0.2278  2 Au 2.96, 1 Se 3.02, 3 Te 3.16-3.18
Sm  0.5000  0.2413  0.2299  2 Se 2.98, 1 Au 3.02, 3 Te 3.16
Sm  0.0000  0.2613  0.7722  2 Au 2.96, 1 Se 3.02, 3 Te 3.16-3.18
Sm  0.5000  0.7587  0.7701  2 Se 2.98, 1 Au 3.02, 3 Te 3.16
Se  0.0000  0.0000  0.0000  6 Sm 2.98-3.02
Au  0.5000  0.5000  0.0000  6 Sm 2.96-3.02

**SG**: No. 10



No. 3
The following is a DFT calculation (PBE-GGA) of crystalline Sm6Te3AuSe2 at its relaxed geometry.

a = 7.4665 Å, b = 7.4665 Å, c = 7.5735 Å
α = 99.46°, β = 99.46°, γ = 119.91°
Last column: nearest neighbours and their distance in Å.
Fractional coordinates of all 12 atoms:
Se  0.3344  0.6656  0.0000  6 Sm 2.98-2.99
Se  0.6656  0.3344  0.0000  6 Sm 2.98-2.99
Te  0.8312  0.1688  0.5000  6 Sm 3.15-3.17
Te  0.5000  0.5000  0.5000  6 Sm 3.16-3.17
Te  0.1688  0.8312  0.5000  6 Sm 3.15-3.17
Sm  0.4070  0.0751  0.2279  1 Au 2.96, 2 Se 2.99, 3 Te 3.15-3.16
Sm  0.5930  0.9249  0.7721  1 Au 2.96, 2 Se 2.99, 3 Te 3.15-3.16
Sm  0.0751  0.4070  0.2279  1 Au 2.96, 2 Se 2.99, 3 Te 3.15-3.16
Sm  0.7450  0.7450  0.2289  1 Au 2.97, 2 Se 2.98, 3 Te 3.17
Sm  0.9249  0.5930  0.7721  1 Au 2.96, 2 Se 2.99, 3 Te 3.15-3.16
Sm  0.2550  0.2550  0.7711  1 Au 2.97, 2 Se 2.98, 3 Te 3.17
Au  0.0000  0.0000  0.0000  6 Sm 2.96-2.97

**SG**: No. 12



No. 4
The following is a DFT calculation (PBE-GGA) of crystalline Sm6TeAu2Se3 at its relaxed geometry.

a = 4.1755 Å, b = 8.7041 Å, c = 9.6334 Å
α = 105.57°, β = 102.52°, γ = 90.00°
Last column: nearest neighbours and their distance in Å.
Fractional coordinates of all 12 atoms:
Sm  0.3367  0.4071  0.6734  3 Se 2.95-3.01, 3 Au 2.99-3.02
Sm  0.9970  0.7331  0.9939  3 Se 2.92-2.98, 1 Au 3.06, 2 Te 3.11
Sm  0.6730  0.0963  0.3459  3 Se 3.00-3.01, 2 Au 3.03, 1 Te 3.13
Sm  0.0030  0.2669  0.0061  3 Se 2.92-2.98, 1 Au 3.06, 2 Te 3.11
Sm  0.6633  0.5929  0.3266  3 Se 2.95-3.01, 3 Au 2.99-3.02
Sm  0.3270  0.9037  0.6541  3 Se 3.00-3.01, 2 Au 3.03, 1 Te 3.13
Au  0.1722  0.3480  0.3443  6 Sm 2.99-3.06
Au  0.8278  0.6520  0.6557  6 Sm 2.99-3.06
Se  0.5000  0.5000  0.0000  6 Sm 2.92-2.95
Se  0.8382  0.1585  0.6764  6 Sm 2.98-3.01
Se  0.1618  0.8415  0.3236  6 Sm 2.98-3.01
Te  0.5000  0.0000  0.0000  6 Sm 3.11-3.13

**SG**: No. 12



No. 5
The following is a DFT calculation (PBE-GGA) of crystalline SnAu3Se at its relaxed geometry.

a = 5.0547 Å, b = 5.0547 Å, c = 5.0547 Å
α = 90.00°, β = 90.00°, γ = 90.00°
Last column: nearest neighbours and their distance in Å.
Fractional coordinates of all 5 atoms:
Au  0.0000  0.0000  0.5000  2 Se 2.53
Au  0.5000  0.0000  0.0000  2 Se 2.53
Au  0.0000  0.5000  0.0000  2 Se 2.53
Sn  0.5000  0.5000  0.5000  12 Au 3.57
Se  0.0000  0.0000  0.0000  6 Au 2.53

**Polymorph energy (0 for the lowest one)**: 0 meV per atom
**SG**: No. 221



No. 6
The following is a DFT calculation (PBE-GGA) of crystalline Sn2AuSe2 at its relaxed geometry.

a = 8.0611 Å, b = 8.0611 Å, c = 3.9721 Å
α = 90.00°, β = 90.00°, γ = 90.00°
Last column: nearest neighbours and their distance in Å.
Fractional coordinates of all 10 atoms:
Au  0.5000  0.5000  0.0000  4 Sn 2.91
Au  0.0000  0.0000  0.0000  4 Sn 2.91
Se  0.8649  0.3649  0.5000  2 Sn 2.76, 1 Se 3.08
Se  0.6351  0.8649  0.5000  2 Sn 2.76, 1 Se 3.08
Se  0.3649  0.1351  0.5000  2 Sn 2.76, 1 Se 3.08
Se  0.1351  0.6351  0.5000  2 Sn 2.76, 1 Se 3.08
Sn  0.8035  0.6965  0.0000  2 Se 2.76, 2 Au 2.91
Sn  0.6965  0.1965  0.0000  2 Se 2.76, 2 Au 2.91
Sn  0.3035  0.8035  0.0000  2 Se 2.76, 2 Au 2.91
Sn  0.1965  0.3035  0.0000  2 Se 2.76, 2 Au 2.91

**Polymorph energy (0 for the lowest one)**: 52 meV per atom
**SG**: No. 127



No. 7
The following is a DFT calculation (PBE-GGA) of crystalline SnAu2Se at its relaxed geometry.

a = 4.6834 Å, b = 4.6834 Å, c = 6.8767 Å
α = 70.09°, β = 70.09°, γ = 60.00°
Last column: nearest neighbours and their distance in Å.
Fractional coordinates of all 4 atoms:
Se  0.0000  0.0000  0.0000  2 Au 2.50
Au  0.1316  0.1316  0.6053  1 Se 2.50, 3 Sn 2.78
Au  0.8684  0.8684  0.3947  1 Se 2.50, 3 Sn 2.78
Sn  0.5000  0.5000  0.5000  6 Au 2.78

**SG**: No. 166



No. 8
The following is a DFT calculation (PBE-GGA) of crystalline Sn2AuSe2 at its relaxed geometry.

a = 5.9234 Å, b = 5.9234 Å, c = 5.8242 Å
α = 59.43°, β = 59.43°, γ = 90.00°
Last column: nearest neighbours and their distance in Å.
Fractional coordinates of all 5 atoms:
Sn  0.2500  0.7500  0.5000  4 Se 2.99
Sn  0.7500  0.2500  0.5000  4 Se 2.99
Au  0.0000  0.0000  0.0000  2 Se 2.46
Se  0.3034  0.3034  0.3933  1 Au 2.46
Se  0.6966  0.6966  0.6067  1 Au 2.46

**Polymorph energy (0 for the lowest one)**: 0 meV per atom
**SG**: No. 139



No. 9
The following is a DFT calculation (PBE-GGA) of crystalline Sn2AuSe at its relaxed geometry.

a = 4.0031 Å, b = 4.0031 Å, c = 7.5880 Å
α = 74.71°, β = 74.71°, γ = 60.00°
Last column: nearest neighbours and their distance in Å.
Fractional coordinates of all 4 atoms:
Au  0.0000  0.0000  0.0000  6 Sn 2.88
Se  0.5000  0.5000  0.5000  6 Sn 2.99
Sn  0.7462  0.7462  0.7614  3 Au 2.88, 3 Se 2.99
Sn  0.2538  0.2538  0.2386  3 Au 2.88, 3 Se 2.99

**SG**: No. 166



No. 10
The following is a DFT calculation (PBE-GGA) of crystalline SnAuSe at its relaxed geometry.

a = 3.9304 Å, b = 3.9304 Å, c = 11.6535 Å
α = 80.29°, β = 80.29°, γ = 60.00°
Last column: nearest neighbours and their distance in Å.
Fractional coordinates of all 6 atoms:
Sn  0.5753  0.5753  0.2740  3 Se 2.77, 3 Au 2.86
Sn  0.4247  0.4247  0.7260  3 Se 2.77, 3 Au 2.86
Se  0.7117  0.7117  0.8650  3 Sn 2.77
Se  0.2883  0.2883  0.1350  3 Sn 2.77
Au  0.8578  0.8578  0.4267  3 Au 2.82, 3 Sn 2.86
Au  0.1422  0.1422  0.5733  3 Au 2.82, 3 Sn 2.86

**SG**: No. 166



Number 1: E -5.24 eV/atom, raw formation energy -1.254 eV per atom. Number 2: E -5.35 eV/atom, raw formation energy -1.358 eV per atom. Number 3: E -5.46 eV/atom, raw formation energy -1.459 eV per atom. Number 4: E -5.43 eV/atom, raw formation energy -1.387 eV per atom. Number 5: E -3.03 eV/atom, raw formation energy 0.434 eV per atom. Number 6: E -3.74 eV/atom, raw formation energy -0.088 eV per atom. Number 7: E -3.28 eV/atom, raw formation energy 0.231 eV per atom. Number 8: E -3.79 eV/atom, raw formation energy -0.139 eV per atom. Number 9: E -3.95 eV/atom, raw formation energy -0.257 eV per atom. Number 10: E -3.80 eV/atom, raw formation energy -0.211 eV per atom.